Arrangement A

DFT (SCAN) results for a PBEsol-optimized structure of CoTe2W.

Cell lengths 7.8475, 7.8475, 7.8475 Å; angles 24.28, 24.28, 24.28 degrees
Sites, in units of the cell vectors:
Co (0.0000, 0.0000, 0.0000)
Te (0.2546, 0.2546, 0.2546)
Te (0.7454, 0.7454, 0.7454)
W (0.5000, 0.5000, 0.5000)

Properties
Symmetry: R-3m, No. 166
V (Å³/f.u.): 71.8

Arrangement B

DFT (SCAN) results for a PBEsol-optimized structure of CoTe2W.

Cell lengths 7.0431, 7.0431, 7.0431 Å; angles 31.51, 31.51, 31.51 degrees
Sites, in units of the cell vectors:
Co (0.0000, 0.0000, 0.0000)
Te (0.2730, 0.2730, 0.2730)
Te (0.4626, 0.4626, 0.4626)
W (0.7093, 0.7093, 0.7093)

Properties
Symmetry: R3m, No. 160
V (Å³/f.u.): 84.7

Relative energies in meV/atom: arrangement A 404; arrangement B 0